[1]
Compound: K4C23
Source: the Alexandria database
Functional: GGA-PBE
Structure: optimized geometry

Magnetic moment = 2.5 μB per formula unit
Density = 3.64 g/cm³
Total DFT energy (no corrections) = -6.85 eV/atom
Volume = 7.31 Å³ per atom
Formation enthalpy at 0 K = 1.167 eV per atom

abc: 7.3341 7.3341 7.3341
angles: 90.00 90.00 90.00
Closest atoms and distances in Å follow each position.
Space group Pm-3n (No. 223)
One atom of each set of equivalent atoms:
K (0.0000, 0.0000, 0.0000) (multiplicity 2)  20 C 2.39-2.47
K (0.0000, 0.2500, 0.5000) (multiplicity 6)  24 C 2.57-2.71
C (0.0000, 0.3000, 0.1532) (multiplicity 24)  3 C 1.63
C (0.0000, 0.5000, 0.2500) (multiplicity 6)  4 C 1.63
C (0.1884, 0.1884, 0.1884) (multiplicity 16)  4 C 1.57-1.63



[2]
Compound: KC
Source: the Alexandria database
Functional: GGA-PBE
Structure: optimized geometry

Magnetic moment = 0.0 μB per formula unit
Density = 2.77 g/cm³
Energy above the most stable polymorph in this dataset = 908 meV per atom
Total DFT energy (no corrections) = -4.01 eV/atom
Volume = 15.34 Å³ per atom
Formation enthalpy at 0 K = 1.152 eV per atom

abc: 2.8367 2.8367 17.6071
angles: 90.00 90.00 120.00
Closest atoms and distances in Å follow each position.
Space group P6_3/mmc (No. 194)
One atom of each set of equivalent atoms:
K (0.3333, 0.6667, 0.1161) (multiplicity 4)  6 K 2.84, 6 C 2.87
C (0.0000, 0.0000, 0.2500) (multiplicity 2)  3 C 1.64
C (0.3333, 0.6667, 0.7500) (multiplicity 2)  3 C 1.64



Question: formation enthalpy at 0 K of number 1 (K4C23)?
Answer: 1.167 eV per atom